# Cs5CoF8

An optimized crystal structure of Cs5CoF8 (PBE+U, the Alexandria database).

Values from the calculation:
Total energy (eV/cell): -58.46
Space group: I-4 (82)

Unit cell a=7.957 b=7.957 c=7.957 alpha=113.98 beta=113.98 gamma=100.78
Element x y z (fractional)
Cs1 0.000 0.000 0.000
Cs2 0.111 0.509 0.841
Cs3 0.491 0.332 0.602
Cs4 0.668 0.270 0.159
Cs5 0.730 0.889 0.398
Co1 0.250 0.750 0.500
F1 0.305 0.013 0.672
F2 0.341 0.633 0.328
F3 0.367 0.695 0.708
F4 0.395 0.003 0.198
F5 0.804 0.605 0.609
F6 0.805 0.196 0.802
F7 0.987 0.659 0.292
F8 0.997 0.195 0.391